NaLi2ScCu: PBEsol geometry, SCAN.

Properties
- Calculated total energy: -7.1042 eV/atom
- Formation energy: 582 meV per atom
- Density of states at the Fermi level: 0.807 states/eV/atom

a b c (Å): 4.3701 4.3701 4.9986
angles (deg): 90.00 90.00 90.00
Closest atoms and distances in Å follow each position.
Space group P4/mmm (No. 123)
Asymmetric unit:
Na (0.0000, 0.0000, 0.0000)  4 Li 2.19
Li (0.0000, 0.5000, 0.0000)  2 Na 2.19
Sc (0.5000, 0.5000, 0.5000)  4 Cu 3.09, 8 Li 3.32
Cu (0.0000, 0.0000, 0.5000)  2 Na 2.50